! DyThZn2 | the Alexandria database | PBE-GGA | optimized geometry; values from VASP
! Total magnetic moment ... 0.000 μB per atom
! Energy relative to the elements ... -0.25 eV/atom
&SYSTEM
  ibrav = 0, nat = 8, ntyp = 3
/
ATOMIC_SPECIES
Dy 162.50 Dy.upf
Th 232.04 Th.upf
Zn 65.41 Zn.upf
CELL_PARAMETERS angstrom
-1.273 2.131 2.610
1.162 -3.556 3.471
9.342 4.174 1.147
ATOMIC_POSITIONS angstrom
Dy 7.873 3.848 3.182
Dy 1.359 -1.099 4.046
Th 3.193 1.757 2.607
Th 6.040 0.991 4.621
Zn 1.435 -0.378 1.008
Zn 9.070 0.995 3.610
Zn 6.280 1.787 1.603
Zn 4.225 -1.169 3.015


! Dy2ThZn9 | the Alexandria database | PBE-GGA | optimized geometry; values from VASP
! Total magnetic moment ... 0.000 μB per atom
! Energy relative to the elements ... -0.30 eV/atom
&SYSTEM
  ibrav = 0, nat = 12, ntyp = 3
/
ATOMIC_SPECIES
Dy 162.50 Dy.upf
Th 232.04 Th.upf
Zn 65.41 Zn.upf
CELL_PARAMETERS angstrom
-3.072 1.454 -4.272
-5.317 -1.233 -0.084
-4.602 7.599 2.408
ATOMIC_POSITIONS angstrom
Dy -9.156 3.413 -2.718
Dy -3.836 4.407 0.771
Th 0.000 0.000 0.000
Zn -5.603 0.190 -2.882
Zn -7.389 7.630 0.935
Zn -6.496 3.910 -0.973
Zn -4.619 1.987 -1.201
Zn -6.184 2.728 -3.377
Zn -7.328 1.359 -1.243
Zn -8.373 5.833 -0.746
Zn -5.664 6.461 -0.703
Zn -6.808 5.092 1.431


! DyThZn10 | the Alexandria database | PBE-GGA | optimized geometry; values from VASP
! Total magnetic moment ... 0.000 μB per atom
! Energy relative to the elements ... -0.25 eV/atom
&SYSTEM
  ibrav = 0, nat = 12, ntyp = 3
/
ATOMIC_SPECIES
Dy 162.50 Dy.upf
Th 232.04 Th.upf
Zn 65.41 Zn.upf
CELL_PARAMETERS angstrom
-1.987 -1.079 3.565
0.999 -5.185 -1.012
7.980 0.632 4.640
ATOMIC_POSITIONS angstrom
Dy 0.000 0.000 0.000
Th 4.490 -2.276 1.814
Zn 2.607 0.207 1.516
Zn 7.201 -2.061 3.391
Zn 1.778 -2.491 0.237
Zn 5.372 0.426 3.124
Zn 2.996 -0.223 4.103
Zn -0.494 -3.132 1.276
Zn 1.250 -1.687 2.686
Zn 5.742 -3.945 4.507
Zn 1.746 -4.261 2.183
Zn 5.245 -1.370 5.009


! Dy14ThZr | the Alexandria database | PBE-GGA | optimized geometry; values from VASP
! Total magnetic moment ... 0.000 μB per atom
! Energy relative to the elements ... 0.04 eV/atom
&SYSTEM
  ibrav = 0, nat = 16, ntyp = 3
/
ATOMIC_SPECIES
Dy 162.50 Dy.upf
Th 232.04 Th.upf
Zr 91.22 Zr.upf
CELL_PARAMETERS angstrom
6.977 0.936 0.000
-0.937 6.977 0.000
0.000 0.000 9.945
ATOMIC_POSITIONS angstrom
Dy 2.033 4.710 4.973
Dy 5.987 1.692 4.973
Dy 5.519 5.179 0.000
Dy 5.521 5.181 4.973
Dy 2.500 1.224 0.000
Dy 2.499 1.221 4.973
Dy 3.561 6.715 7.520
Dy 3.561 6.715 2.425
Dy 0.502 2.708 7.520
Dy 0.502 2.708 2.425
Dy 0.027 6.242 7.520
Dy 0.027 6.242 2.425
Dy 4.035 3.182 7.521
Dy 4.035 3.182 2.425
Th 2.030 4.713 0.000
Zr 5.989 1.690 0.000


! DyThZr | the Alexandria database | PBE-GGA | optimized geometry; values from VASP
! Total magnetic moment ... 0.000 μB per atom
! Energy relative to the elements ... 0.18 eV/atom
! Polymorph energy (0 for the lowest one) ... 0.24 eV/f.u.
&SYSTEM
  ibrav = 0, nat = 6, ntyp = 3
/
ATOMIC_SPECIES
Dy 162.50 Dy.upf
Th 232.04 Th.upf
Zr 91.22 Zr.upf
CELL_PARAMETERS angstrom
-2.839 -0.061 -5.044
-0.772 -1.573 -2.868
-15.704 -5.962 5.590
ATOMIC_POSITIONS angstrom
Dy -5.674 -2.551 -3.418
Dy -13.641 -5.044 1.097
Th -9.560 -3.945 -4.535
Th -9.755 -3.650 2.213
Zr -17.236 -6.259 -0.186
Zr -2.079 -1.337 -2.135


! Dy3Th2Zr | the Alexandria database | PBE-GGA | optimized geometry; values from VASP
! Total magnetic moment ... 0.000 μB per atom
! Energy relative to the elements ... 0.14 eV/atom
&SYSTEM
  ibrav = 0, nat = 12, ntyp = 3
/
ATOMIC_SPECIES
Dy 162.50 Dy.upf
Th 232.04 Th.upf
Zr 91.22 Zr.upf
CELL_PARAMETERS angstrom
-1.320 -3.054 0.728
8.486 -2.798 3.651
-5.422 6.236 8.357
ATOMIC_POSITIONS angstrom
Dy -2.706 0.161 3.730
Dy 5.966 -1.655 3.873
Dy -0.686 2.547 9.437
Dy 2.430 -2.163 3.299
Dy -4.222 2.039 8.863
Dy 4.450 0.224 9.006
Th 2.152 1.639 10.772
Th -0.408 -1.254 1.964
Th 3.514 -0.107 5.919
Th -1.770 0.492 6.817
Zr 0.834 0.744 4.633
Zr 0.910 -0.360 8.103


! Dy2ThZr | the Alexandria database | PBE-GGA | optimized geometry; values from VASP
! Total magnetic moment ... 0.000 μB per atom
! Energy relative to the elements ... 0.08 eV/atom
! Polymorph energy (0 for the lowest one) ... 0.06 eV/f.u.
&SYSTEM
  ibrav = 0, nat = 4, ntyp = 3
/
ATOMIC_SPECIES
Zr 91.22 Zr.upf
Th 232.04 Th.upf
Dy 162.50 Dy.upf
CELL_PARAMETERS angstrom
-4.418 -2.325 -0.544
-0.111 -0.893 4.725
-2.284 4.169 0.734
ATOMIC_POSITIONS angstrom
Zr -3.407 0.475 2.458
Th -2.209 -1.163 -0.272
Dy -1.142 2.084 0.367
Dy -0.056 -0.446 2.362


! Dy6ThZr | the Alexandria database | PBE-GGA | optimized geometry; values from VASP
! Total magnetic moment ... 0.000 μB per atom
! Energy relative to the elements ... 0.06 eV/atom
&SYSTEM
  ibrav = 0, nat = 8, ntyp = 3
/
ATOMIC_SPECIES
Dy 162.50 Dy.upf
Th 232.04 Th.upf
Zr 91.22 Zr.upf
CELL_PARAMETERS angstrom
-3.539 -6.641 -2.332
5.446 -2.355 3.559
-4.862 -2.818 2.245
ATOMIC_POSITIONS angstrom
Dy 2.675 -4.370 3.132
Dy -0.110 -6.512 2.643
Dy -2.845 -5.301 0.830
Dy -5.630 -7.444 0.340
Dy -2.909 -8.622 2.169
Dy -0.046 -3.191 1.304
Th 2.723 -1.177 1.780
Zr 0.000 0.000 0.000